1.
A plane-wave DFT calculation with PBE was carried out for crystalline TbHoErCu at its relaxed geometry.

Output
- energy (eV/atom) = -4.572
- SG = No. 99

Cell: 3.4690 3.4690 8.6437 Å, 90.00 90.00 90.00°
Closest atoms and distances in Å follow each position.
Element x y z (fractional)
Tb (0.0000, 0.0000, 0.0000)  4 Tb 3.47, 4 Er 3.59, 4 Ho 3.59
Ho (0.5000, 0.5000, 0.6962)  4 Cu 3.00
Er (0.5000, 0.5000, 0.3026)  4 Cu 2.97
Cu (0.0000, 0.0000, 0.4969)  4 Er 2.97, 4 Ho 3.00

***

2.
A plane-wave DFT calculation with PBE was carried out for crystalline HoErCuTc at its relaxed geometry.

Output
- energy (eV/atom) = -6.030
- SG = No. 216

Cell: 4.8346 4.8346 4.8346 Å, 60.00 60.00 60.00°
Closest atoms and distances in Å follow each position.
Element x y z (fractional)
Ho (0.0000, 0.0000, 0.0000)  4 Tc 2.96, 4 Cu 2.96
Er (0.5000, 0.5000, 0.5000)  4 Tc 2.96, 4 Cu 2.96
Cu (0.2500, 0.2500, 0.2500)  4 Ho 2.96, 4 Er 2.96
Tc (0.7500, 0.7500, 0.7500)  4 Ho 2.96, 4 Er 2.96

***

3.
A plane-wave DFT calculation with PBE was carried out for crystalline Ho3Er3Cu2Tc at its relaxed geometry.

Output
- energy (eV/atom) = -5.264
- SG = No. 189

Cell: 7.3220 7.3220 4.6835 Å, 90.00 90.00 120.00°
Closest atoms and distances in Å follow each position.
Element x y z (fractional)
Ho (0.0000, 0.4021, 0.0000)  1 Tc 2.94, 4 Cu 3.24
Ho (0.4021, 0.0000, 0.0000)  1 Tc 2.94, 4 Cu 3.24
Ho (0.5979, 0.5979, 0.0000)  1 Tc 2.94, 4 Cu 3.24
Er (0.0000, 0.7430, 0.5000)  2 Cu 2.76, 2 Tc 3.00
Er (0.2570, 0.2570, 0.5000)  2 Cu 2.76, 2 Tc 3.00
Er (0.7430, 0.0000, 0.5000)  2 Cu 2.76, 2 Tc 3.00
Cu (0.3333, 0.6667, 0.5000)  3 Er 2.76
Cu (0.6667, 0.3333, 0.5000)  3 Er 2.76
Tc (0.0000, 0.0000, 0.0000)  3 Ho 2.94, 6 Er 3.00

***

4.
A plane-wave DFT calculation with PBE was carried out for crystalline HoErTlCu at its relaxed geometry.

Output
- energy (eV/atom) = -4.151
- SG = No. 216

Cell: 5.1419 5.1419 5.1419 Å, 60.00 60.00 60.00°
Closest atoms and distances in Å follow each position.
Element x y z (fractional)
Ho (0.0000, 0.0000, 0.0000)  4 Cu 3.15, 4 Tl 3.15
Er (0.5000, 0.5000, 0.5000)  4 Cu 3.15, 4 Tl 3.15
Tl (0.2500, 0.2500, 0.2500)  4 Ho 3.15, 4 Er 3.15
Cu (0.7500, 0.7500, 0.7500)  4 Er 3.15, 4 Ho 3.15

***

5.
A plane-wave DFT calculation with PBE was carried out for crystalline HoErZnCu at its relaxed geometry.

Output
- energy (eV/atom) = -3.936
- SG = No. 99
- excess energy over the best structure of this formula in the dataset (meV per atom) = 0

Cell: 3.4892 3.4892 7.0074 Å, 90.00 90.00 90.00°
Closest atoms and distances in Å follow each position.
Element x y z (fractional)
Ho (0.0000, 0.0000, 0.0000)  4 Cu 3.01, 4 Zn 3.06
Er (0.0000, 0.0000, 0.5142)  4 Cu 2.99, 4 Zn 3.05
Zn (0.5000, 0.5000, 0.2586)  4 Er 3.05, 4 Ho 3.06
Cu (0.5000, 0.5000, 0.7546)  4 Er 2.99, 4 Ho 3.01

***

6.
A plane-wave DFT calculation with PBE was carried out for crystalline HoErZnCu at its relaxed geometry.

Output
- energy (eV/atom) = -3.928
- SG = No. 216
- excess energy over the best structure of this formula in the dataset (meV per atom) = 9

Cell: 4.9395 4.9395 4.9395 Å, 60.00 60.00 60.00°
Closest atoms and distances in Å follow each position.
Element x y z (fractional)
Ho (0.0000, 0.0000, 0.0000)  4 Cu 3.02, 4 Zn 3.02
Er (0.5000, 0.5000, 0.5000)  4 Cu 3.02, 4 Zn 3.02
Zn (0.7500, 0.7500, 0.7500)  4 Ho 3.02, 4 Er 3.02
Cu (0.2500, 0.2500, 0.2500)  4 Ho 3.02, 4 Er 3.02

***

7.
A plane-wave DFT calculation with PBE was carried out for crystalline Er2CuI8 at its relaxed geometry.

Output
- energy (eV/atom) = -3.180
- SG = No. 12

Cell: 8.9941 8.9941 7.9408 Å, 91.96 91.96 71.54°
Closest atoms and distances in Å follow each position.
Element x y z (fractional)
Er (0.2038, 0.2038, 0.3349)  4 I 2.79-2.91
Er (0.7962, 0.7962, 0.6651)  4 I 2.79-2.91
Cu (0.0000, 0.0000, 0.0000)  4 I 2.70
I (0.1019, 0.7208, 0.8346)  1 Cu 2.70, 1 Er 2.91
I (0.1929, 0.1929, 0.6900)  1 Er 2.83
I (0.2792, 0.8981, 0.1654)  1 Cu 2.70, 1 Er 2.91
I (0.3857, 0.3857, 0.2388)  1 Er 2.79
I (0.6143, 0.6143, 0.7612)  1 Er 2.79
I (0.7208, 0.1019, 0.8346)  1 Cu 2.70, 1 Er 2.91
I (0.8071, 0.8071, 0.3100)  1 Er 2.83
I (0.8981, 0.2792, 0.1654)  1 Cu 2.70, 1 Er 2.91

***

8.
A plane-wave DFT calculation with PBE was carried out for crystalline Er4CuI5 at its relaxed geometry.

Output
- energy (eV/atom) = -3.963
- SG = No. 12

Cell: 9.7651 9.7651 8.8266 Å, 102.23 102.23 24.10°
Closest atoms and distances in Å follow each position.
Element x y z (fractional)
Er (0.0002, 0.0002, 0.2060)  2 Cu 2.73
Er (0.9998, 0.9998, 0.7940)  2 Cu 2.73
Er (0.3580, 0.3580, 0.9272)  1 Cu 2.65
Er (0.6420, 0.6420, 0.0728)  1 Cu 2.65
Cu (0.5000, 0.5000, 0.0000)  6 Er 2.65-2.73
I (0.1677, 0.1677, 0.3428)  3 Er 3.09-3.17
I (0.1769, 0.1769, 0.8294)  4 Er 3.14-3.38
I (0.5000, 0.5000, 0.5000)  4 Er 3.30
I (0.8231, 0.8231, 0.1706)  4 Er 3.14-3.38
I (0.8323, 0.8323, 0.6572)  3 Er 3.09-3.17

***

9.
A plane-wave DFT calculation with PBE was carried out for crystalline Er7CuI12 at its relaxed geometry.

Output
- energy (eV/atom) = -3.847
- SG = No. 148

Cell: 9.6298 9.6298 9.6298 Å, 107.66 107.66 107.66°
Closest atoms and distances in Å follow each position.
Element x y z (fractional)
Er (0.0000, 0.0000, 0.0000)  6 I 3.05
Er (0.1965, 0.4657, 0.3965)  1 Cu 2.66
Er (0.3965, 0.1965, 0.4657)  1 Cu 2.66
Er (0.4657, 0.3965, 0.1965)  1 Cu 2.66
Er (0.5343, 0.6035, 0.8035)  1 Cu 2.66
Er (0.6035, 0.8035, 0.5343)  1 Cu 2.66
Er (0.8035, 0.5343, 0.6035)  1 Cu 2.66
Cu (0.5000, 0.5000, 0.5000)  6 Er 2.66
I (0.0279, 0.1077, 0.3433)  3 Er 3.05-3.13
I (0.1077, 0.3433, 0.0279)  3 Er 3.05-3.13
I (0.1806, 0.5756, 0.7248)  3 Er 3.08-3.31
I (0.2752, 0.8194, 0.4244)  3 Er 3.08-3.31
I (0.3433, 0.0279, 0.1077)  3 Er 3.05-3.13
I (0.4244, 0.2752, 0.8194)  3 Er 3.08-3.31
I (0.5756, 0.7248, 0.1806)  3 Er 3.08-3.31
I (0.6567, 0.9721, 0.8923)  3 Er 3.05-3.13
I (0.7248, 0.1806, 0.5756)  3 Er 3.08-3.31
I (0.8194, 0.4244, 0.2752)  3 Er 3.08-3.31
I (0.8923, 0.6567, 0.9721)  3 Er 3.05-3.13
I (0.9721, 0.8923, 0.6567)  3 Er 3.05-3.13

***

10.
A plane-wave DFT calculation with PBE was carried out for crystalline K2ErCuI6 at its relaxed geometry.

Output
- energy (eV/atom) = -3.138
- SG = No. 14

Cell: 8.4997 9.3586 13.4379 Å, 90.00 128.60 90.00°
Closest atoms and distances in Å follow each position.
Element x y z (fractional)
K (0.2190, 0.0999, 0.2464)  8 I 3.54-3.83
K (0.2190, 0.4001, 0.7464)  8 I 3.54-3.83
K (0.7810, 0.5999, 0.2536)  8 I 3.54-3.83
K (0.7810, 0.9001, 0.7536)  8 I 3.54-3.83
Er (0.0000, 0.0000, 0.5000)  6 I 2.99-3.11
Er (0.0000, 0.5000, 0.0000)  6 I 2.99-3.11
Cu (0.5000, 0.0000, 0.0000)  2 I 2.48
Cu (0.5000, 0.5000, 0.5000)  2 I 2.48
I (0.1123, 0.2217, 0.9490)  1 Er 3.00
I (0.1123, 0.2783, 0.4490)  1 Er 3.00
I (0.2442, 0.6605, 0.9471)  1 Er 2.99
I (0.2442, 0.8395, 0.4471)  1 Er 2.99
I (0.3891, 0.0295, 0.7809)  1 Cu 2.48
I (0.3891, 0.4705, 0.2809)  1 Cu 2.48
I (0.6109, 0.5295, 0.7191)  1 Cu 2.48
I (0.6109, 0.9705, 0.2191)  1 Cu 2.48
I (0.7558, 0.1605, 0.5529)  1 Er 2.99
I (0.7558, 0.3395, 0.0529)  1 Er 2.99
I (0.8877, 0.7217, 0.5510)  1 Er 3.00
I (0.8877, 0.7783, 0.0510)  1 Er 3.00

***

11.
A plane-wave DFT calculation with PBE was carried out for crystalline KErCuI6 at its relaxed geometry.

Output
- energy (eV/atom) = -3.044
- SG = No. 1

Cell: 7.3923 7.4576 7.8647 Å, 93.62 94.17 113.19°
Closest atoms and distances in Å follow each position.
Element x y z (fractional)
K (0.0000, 0.0000, 0.0000)  6 I 3.60-3.75
Er (0.3693, 0.6696, 0.5091)  6 I 2.90-3.08
Cu (0.7503, 0.3594, 0.4545)  5 I 2.70-2.86
I (0.0292, 0.6111, 0.2508)  1 Cu 2.86, 1 Er 2.99
I (0.0507, 0.3371, 0.6596)  1 Cu 2.71
I (0.3981, 0.9605, 0.7841)  1 Er 2.90
I (0.4489, 0.3845, 0.2549)  1 Cu 2.70
I (0.6512, 0.9877, 0.3154)  1 Cu 2.70
I (0.6764, 0.5716, 0.7107)  1 Cu 2.70, 1 Er 3.02

***

12.
A plane-wave DFT calculation with PBE was carried out for crystalline RbErCu2I6 at its relaxed geometry.

Output
- energy (eV/atom) = -3.173
- SG = No. 15

Cell: 10.7239 10.7239 7.6947 Å, 94.27 94.27 86.03°
Closest atoms and distances in Å follow each position.
Element x y z (fractional)
Rb (0.0802, 0.9198, 0.7500)  6 I 3.58-3.74
Rb (0.9198, 0.0802, 0.2500)  6 I 3.58-3.74
Er (0.2692, 0.7308, 0.2500)  6 I 2.95-3.14
Er (0.7308, 0.2692, 0.7500)  6 I 2.95-3.14
Cu (0.3432, 0.4831, 0.7307)  3 I 2.56-2.58, 1 Cu 2.71
Cu (0.4831, 0.3432, 0.2307)  3 I 2.56-2.58, 1 Cu 2.71
Cu (0.5169, 0.6568, 0.7693)  3 I 2.56-2.58, 1 Cu 2.71
Cu (0.6568, 0.5169, 0.2693)  3 I 2.56-2.58, 1 Cu 2.71
I (0.0067, 0.7468, 0.3439)  1 Er 2.95
I (0.1738, 0.6031, 0.9061)  1 Cu 2.56
I (0.2532, 0.9933, 0.1561)  1 Er 2.95
I (0.3063, 0.4637, 0.3946)  2 Cu 2.58
I (0.3969, 0.8262, 0.5939)  1 Cu 2.56
I (0.4637, 0.3063, 0.8946)  2 Cu 2.58
I (0.5363, 0.6937, 0.1054)  2 Cu 2.58
I (0.6031, 0.1738, 0.4061)  1 Cu 2.56
I (0.6937, 0.5363, 0.6054)  2 Cu 2.58
I (0.7468, 0.0067, 0.8439)  1 Er 2.95
I (0.8262, 0.3969, 0.0939)  1 Cu 2.56
I (0.9933, 0.2532, 0.6561)  1 Er 2.95

***

Q: Which formula does entry 2 have?
A: HoErCuTc